{"formula": "CuMoH2F", "functional": "PBE+U", "state": "relaxed", "space_group": "No. 123", "total_energy_ev_per_atom": -3.72, "lattice": [[3.523, 0.000, 0.000], [0.000, 3.523, 0.000], [0.000, 0.000, 5.591]], "species": ["Cu", "Mo", "H", "H", "F"], "frac_coords": [[0.000, 0.000, 0.000], [0.000, 0.000, 0.500], [0.000, 0.500, 0.500], [0.500, 0.000, 0.500], [0.500, 0.500, 0.000]]}